Entry from the Alexandria database: an optimized crystal structure of PmInHg2 (GGA-PBE).

Calculated values
Offset from the most stable computed form = 11.0 meV/atom
M_tot = 0.00 Bohr magnetons per cell
DOS(E_F) = 0.615 states/eV/atom
DFT formation energy = -37.4 kJ per mole of atoms

a = 4.7827 Å, b = 4.7827 Å, c = 4.4664 Å
α = 90.00°, β = 90.00°, γ = 90.00°
With the nearest neighbours (Å) after each atom.
Space group P4/mmm (No. 123)
One atom of each set of equivalent atoms:
Pm: 0.0000 0.0000 0.0000 (multiplicity 1)  8 Hg 3.27, 4 In 3.38
In: 0.5000 0.5000 0.0000 (multiplicity 1)  8 Hg 3.27, 4 Pm 3.38
Hg: 0.0000 0.5000 0.5000 (multiplicity 2)  4 In 3.27, 4 Pm 3.27, 4 Hg 3.38


Entry from the Alexandria database: an optimized crystal structure of Pm6InHg (GGA-PBE).

Calculated values
M_tot = 0.53 Bohr magnetons per cell
DOS(E_F) = 1.571 states/eV/atom
DFT formation energy = -21.3 kJ per mole of atoms

a = 4.9375 Å, b = 4.9375 Å, c = 9.8461 Å
α = 90.00°, β = 90.00°, γ = 90.00°
With the nearest neighbours (Å) after each atom.
Space group P4/mmm (No. 123)
One atom of each set of equivalent atoms:
Pm: 0.0000 0.0000 0.0000 (multiplicity 1)  8 Pm 3.48, 4 Hg 3.49
Pm: 0.0000 0.0000 0.5000 (multiplicity 1)  4 In 3.49, 8 Pm 3.49
Pm: 0.0000 0.5000 0.2491 (multiplicity 4)  2 Hg 3.48, 8 Pm 3.48-3.49, 2 In 3.49
In: 0.5000 0.5000 0.5000 (multiplicity 1)  12 Pm 3.49
Hg: 0.5000 0.5000 0.0000 (multiplicity 1)  12 Pm 3.48-3.49


Entry from the Alexandria database: an optimized crystal structure of Pm2In3Hg3 (GGA-PBE).

Calculated values
M_tot = 0.00 Bohr magnetons per cell
DOS(E_F) = 0.470 states/eV/atom
DFT formation energy = -39.7 kJ per mole of atoms

a = 4.6652 Å, b = 4.6938 Å, c = 9.3111 Å
α = 90.00°, β = 90.00°, γ = 90.00°
With the nearest neighbours (Å) after each atom.
Space group Pmmm (No. 47)
One atom of each set of equivalent atoms:
Pm: 0.0000 0.0000 0.2481 (multiplicity 2)  6 In 3.28-3.32, 6 Hg 3.29-3.31
In: 0.0000 0.5000 0.5000 (multiplicity 1)  4 Hg 3.26, 4 In 3.31, 4 Pm 3.32
In: 0.5000 0.0000 0.0000 (multiplicity 1)  4 Pm 3.28, 8 Hg 3.31-3.34
In: 0.5000 0.0000 0.5000 (multiplicity 1)  4 Hg 3.27, 4 Pm 3.31, 4 In 3.31
Hg: 0.0000 0.5000 0.0000 (multiplicity 1)  4 Pm 3.29, 4 In 3.31, 4 Hg 3.33
Hg: 0.5000 0.5000 0.2556 (multiplicity 2)  6 In 3.26-3.34, 4 Pm 3.31, 2 Hg 3.33


Entry from the Alexandria database: an optimized crystal structure of Pm2InHg8 (GGA-PBE).

Calculated values
Offset from the most stable computed form = 23.3 meV/atom
M_tot = 0.00 Bohr magnetons per cell
DOS(E_F) = 0.623 states/eV/atom
DFT formation energy = -23.4 kJ per mole of atoms

a = 17.7953 Å, b = 4.8458 Å, c = 7.0453 Å
α = 90.00°, β = 110.07°, γ = 90.00°
With the nearest neighbours (Å) after each atom.
Space group C2/m (No. 12)
One atom of each set of equivalent atoms:
Pm: 0.2108 0.0000 0.1925 (multiplicity 4)  10 Hg 3.17-3.46
In: 0.0000 0.5000 0.5000 (multiplicity 2)  8 Hg 2.96-3.23
Hg: 0.0220 0.0000 0.2214 (multiplicity 4)  3 Hg 2.94-3.20, 2 In 3.23
Hg: 0.1146 0.5000 0.9195 (multiplicity 4)  1 In 2.96, 3 Hg 3.09-3.18, 2 Pm 3.20
Hg: 0.1451 0.5000 0.3791 (multiplicity 4)  1 In 2.98, 5 Hg 3.09-3.21, 3 Pm 3.17-3.22
Hg: 0.1612 0.0000 0.6900 (multiplicity 4)  6 Hg 3.18-3.52, 3 Pm 3.23-3.34


Entry from the Alexandria database: an optimized crystal structure of PmIn5Hg4 (GGA-PBE).

Calculated values
M_tot = 0.00 Bohr magnetons per cell
DOS(E_F) = 0.441 states/eV/atom
DFT formation energy = -10.5 kJ per mole of atoms

a = 14.9135 Å, b = 4.4387 Å, c = 10.3056 Å
α = 90.00°, β = 126.26°, γ = 90.00°
With the nearest neighbours (Å) after each atom.
Space group C2/m (No. 12)
One atom of each set of equivalent atoms:
Pm: 0.0000 0.0000 0.0000 (multiplicity 2)  6 Hg 3.23-3.30, 6 In 3.39
In: 0.0000 0.5000 0.5000 (multiplicity 2)  2 Hg 3.00, 6 In 3.05-3.11
In: 0.0756 0.0000 0.7475 (multiplicity 4)  3 Hg 2.98-3.26, 4 In 3.05-3.20
In: 0.0976 0.5000 0.3042 (multiplicity 4)  4 Hg 3.09-3.46, 3 In 3.11-3.20, 2 Pm 3.39
Hg: 0.1762 0.5000 0.0338 (multiplicity 4)  3 In 2.98-3.26, 2 Pm 3.30, 2 Hg 3.34
Hg: 0.2477 0.5000 0.6762 (multiplicity 4)  4 In 3.00-3.12, 1 Pm 3.23, 2 Hg 3.34


Entry from the Alexandria database: an optimized crystal structure of Pm5InHg4 (GGA-PBE).

Calculated values
M_tot = 1.69 Bohr magnetons per cell
DOS(E_F) = 1.228 states/eV/atom
DFT formation energy = -45.9 kJ per mole of atoms

a = 3.7998 Å, b = 3.7998 Å, c = 19.3245 Å
α = 90.00°, β = 90.00°, γ = 90.00°
With the nearest neighbours (Å) after each atom.
Space group P4/mmm (No. 123)
One atom of each set of equivalent atoms:
Pm: 0.0000 0.0000 0.0000 (multiplicity 1)  8 Hg 3.31
Pm: 0.0000 0.0000 0.1978 (multiplicity 2)  8 Hg 3.29-3.31
Pm: 0.0000 0.0000 0.3964 (multiplicity 2)  4 Hg 3.29, 4 In 3.35
In: 0.5000 0.5000 0.5000 (multiplicity 1)  8 Pm 3.35
Hg: 0.5000 0.5000 0.0997 (multiplicity 2)  8 Pm 3.29-3.31
Hg: 0.5000 0.5000 0.2980 (multiplicity 2)  8 Pm 3.29-3.31